[1]
! PBE-GGA Y2ZnCrN, relaxed; values from VASP
! Volume = 18.266 Å³/atom
! Crystal system = tetragonal
! D(E_F) = 3.774 states/eV/f.u.
! Total energy = -7.08 eV per atom
! Total magnetic moment = 1.5 μB/f.u.
&SYSTEM
  ibrav = 0, nat = 5, ntyp = 4
/
ATOMIC_SPECIES
Cr 52.00 Cr.upf
Y 88.91 Y.upf
Zn 65.41 Zn.upf
N 14.01 N.upf
CELL_PARAMETERS angstrom
4.928 0.000 0.000
0.000 4.928 0.000
0.000 0.000 3.761
ATOMIC_POSITIONS crystal
Cr 0.000 0.000 0.500
Y 0.500 0.000 0.000
Y 0.000 0.500 0.000
Zn 0.500 0.500 0.500
N 0.000 0.000 0.000

---

[2]
! PBE-GGA MnIrOs, relaxed; values from VASP
! Volume = 13.297 Å³/atom
! Crystal system = tetragonal
! D(E_F) = 2.846 states/eV/f.u.
! ΔH_f (0 K) = 0.01 eV/atom
! Total magnetic moment = 0.0 μB/f.u.
! Relative energy among the computed polymorphs = 16 meV/atom
&SYSTEM
  ibrav = 0, nat = 3, ntyp = 3
/
ATOMIC_SPECIES
Os 190.23 Os.upf
Mn 54.94 Mn.upf
Ir 192.22 Ir.upf
CELL_PARAMETERS angstrom
-4.345 -1.089 -3.767
-2.139 -1.419 -5.260
-0.294 -2.664 0.153
ATOMIC_POSITIONS crystal
Os 0.677 0.677 0.323
Mn 0.330 0.330 0.670
Ir 0.994 0.994 0.006

---

[3]
! PBE-GGA AlSn2N, relaxed; values from VASP
! Volume = 19.048 Å³/atom
! Crystal system = cubic
! D(E_F) = 3.053 states/eV/f.u.
! Total magnetic moment = 0.0 μB/f.u.
! Relative energy among the computed polymorphs = 653 meV/atom
&SYSTEM
  ibrav = 0, nat = 4, ntyp = 3
/
ATOMIC_SPECIES
Sn 118.71 Sn.upf
N 14.01 N.upf
Al 26.98 Al.upf
CELL_PARAMETERS angstrom
0.000 3.365 3.365
3.365 0.000 3.365
3.365 3.365 0.000
ATOMIC_POSITIONS crystal
Sn 0.750 0.750 0.750
Sn 0.250 0.250 0.250
N 0.000 0.000 0.000
Al 0.500 0.500 0.500

---

[4]
! PBE-GGA K2Os, relaxed; values from VASP
! Volume = 25.515 Å³/atom
! Crystal system = hexagonal
! D(E_F) = 3.757 states/eV/f.u.
! ΔH_f (0 K) = 1.29 eV/atom
! Total magnetic moment = 0.6 μB/f.u.
! Relative energy among the computed polymorphs = 604 meV/atom
&SYSTEM
  ibrav = 0, nat = 3, ntyp = 2
/
ATOMIC_SPECIES
K 39.10 K.upf
Os 190.23 Os.upf
CELL_PARAMETERS angstrom
-0.826 -5.083 -2.492
3.984 3.568 -2.032
1.831 -1.106 1.648
ATOMIC_POSITIONS crystal
K 0.333 0.667 0.500
K 0.667 0.333 0.500
Os 0.000 0.000 0.000

---

[5]
! PBE-GGA ErHf2Co3, relaxed; values from VASP
! Volume = 16.415 Å³/atom
! Crystal system = tetragonal
! D(E_F) = 4.833 states/eV/f.u.
! ΔH_f (0 K) = -0.35 eV/atom
! Total magnetic moment = 0.5 μB/f.u.
&SYSTEM
  ibrav = 0, nat = 6, ntyp = 3
/
ATOMIC_SPECIES
Hf 178.49 Hf.upf
Co 58.93 Co.upf
Er 167.26 Er.upf
CELL_PARAMETERS angstrom
-0.113 2.408 2.063
1.224 -1.871 2.251
9.019 2.702 -2.658
ATOMIC_POSITIONS crystal
Hf 0.500 0.500 0.838
Hf 0.500 0.500 0.162
Co 0.000 0.000 0.694
Co 0.000 0.000 0.306
Co 0.000 0.000 0.000
Er 0.500 0.500 0.500

---

[6]
! PBE-GGA CsNa3Sr4Cl12, relaxed; values from VASP
! Volume = 31.756 Å³/atom
! Crystal system = cubic
! D(E_F) = 0.000 states/eV/f.u.
! Total energy = -3.89 eV per atom
! Total magnetic moment = 0.0 μB/f.u.
&SYSTEM
  ibrav = 0, nat = 20, ntyp = 4
/
ATOMIC_SPECIES
Na 22.99 Na.upf
Sr 87.62 Sr.upf
Cl 35.45 Cl.upf
Cs 132.91 Cs.upf
CELL_PARAMETERS angstrom
-7.211 5.366 2.678
2.272 -5.878 6.947
7.365 5.443 -2.025
ATOMIC_POSITIONS crystal
Na 0.500 0.500 0.000
Na 0.000 0.500 0.500
Na 0.500 0.000 0.500
Sr 0.500 0.500 0.500
Sr 0.000 0.500 0.000
Sr 0.000 0.000 0.500
Sr 0.500 0.000 0.000
Cl 0.310 0.826 0.136
Cl 0.864 0.690 0.174
Cl 0.136 0.310 0.826
Cl 0.690 0.826 0.516
Cl 0.174 0.864 0.690
Cl 0.826 0.516 0.690
Cl 0.484 0.310 0.174
Cl 0.516 0.690 0.826
Cl 0.174 0.484 0.310
Cl 0.690 0.174 0.864
Cl 0.310 0.174 0.484
Cl 0.826 0.136 0.310
Cs 0.000 0.000 0.000

---

[7]
! PBE-GGA MgAl2Si6O16, relaxed; values from VASP
! Volume = 14.460 Å³/atom
! Crystal system = triclinic
! D(E_F) = 0.000 states/eV/f.u.
! Total magnetic moment = 0.0 μB/f.u.
! Relative energy among the computed polymorphs = 12 meV/atom
&SYSTEM
  ibrav = 0, nat = 25, ntyp = 4
/
ATOMIC_SPECIES
O 16.00 O.upf
Si 28.09 Si.upf
Al 26.98 Al.upf
Mg 24.30 Mg.upf
CELL_PARAMETERS angstrom
5.018 0.068 -0.209
-0.117 8.733 0.185
-0.480 -0.009 8.267
ATOMIC_POSITIONS crystal
O 0.471 0.260 0.817
O 0.293 0.657 0.450
O 0.959 0.383 0.821
O 0.773 0.211 0.275
O 0.575 0.564 0.765
O 0.018 0.060 0.754
O 0.117 0.754 0.750
O 0.442 0.444 0.245
O 0.144 0.168 0.069
O 0.808 0.840 0.953
O 0.092 0.658 0.138
O 0.628 0.867 0.645
O 0.288 0.179 0.381
O 0.603 0.733 0.212
O 0.655 0.357 0.537
O 0.996 0.940 0.257
Si 0.893 0.894 0.765
Si 0.050 0.127 0.242
Si 0.539 0.294 0.361
Si 0.366 0.622 0.272
Si 0.648 0.382 0.731
Si 0.870 0.804 0.147
Al 0.403 0.717 0.644
Al 0.156 0.211 0.866
Mg 0.965 0.597 0.894

---

[8]
! PBE-GGA Y4TlHg, relaxed; values from VASP
! Volume = 30.131 Å³/atom
! Crystal system = cubic
! D(E_F) = 6.741 states/eV/f.u.
! ΔH_f (0 K) = 0.26 eV/atom
! Total magnetic moment = 0.0 μB/f.u.
! Relative energy among the computed polymorphs = 375 meV/atom
&SYSTEM
  ibrav = 0, nat = 6, ntyp = 3
/
ATOMIC_SPECIES
Y 88.91 Y.upf
Hg 200.59 Hg.upf
Tl 204.38 Tl.upf
CELL_PARAMETERS angstrom
-5.358 -2.574 -2.224
-5.614 2.522 1.550
-3.417 3.071 -4.379
ATOMIC_POSITIONS crystal
Y 0.375 0.375 0.375
Y 0.375 0.375 0.876
Y 0.375 0.876 0.375
Y 0.876 0.375 0.375
Hg 0.750 0.750 0.750
Tl 0.000 0.000 0.000